A.
# CoPAuO

A relaxed CoPAuO crystal (PBE with a Hubbard U, OQMD).

The structure belongs to space group Pmc2_1 (No. 26); the cell edges are 3.266, 6.628 and 6.226 Å and the angles 90.00°, 90.00° and 90.00°. The asymmetric unit holds Co at (0.000, 0.198, 0.000), P at (0.000, 0.114, 0.357), Au at (0.500, 0.355, 0.439) and O at (0.500, 0.322, 0.919).

Its size of the total moment is 2.250 μB/f.u.

---

B.
# CoPAuO

A relaxed CoPAuO crystal (PBE with a Hubbard U, OQMD).

The structure belongs to space group Pmc2_1 (No. 26); the cell edges are 3.314, 6.554 and 5.885 Å and the angles 90.00°, 90.00° and 90.00°. The asymmetric unit holds Co at (0.000, 0.131, 0.000), P at (0.500, 0.340, 0.902), Au at (0.500, 0.314, 0.504) and O at (0.000, 0.102, 0.317).

Its size of the total moment is 1.970 μB/f.u.

---

Most stable one: A, least stable one: B.

---

A.
# CoTeAuO

A relaxed CoTeAuO crystal (PBE with a Hubbard U, OQMD).

The structure belongs to space group P4/nmm (No. 129, origin choice 2); the cell edges are 4.031, 4.031 and 10.307 Å and the angles 90.00°, 90.00° and 90.00°. The asymmetric unit holds Co at (0.250, 0.250, 0.012), Te at (0.250, 0.250, 0.692), Au at (0.250, 0.750, 0.500) and O at (0.250, 0.750, 0.000).

Its size of the total moment is 2.918 μB/f.u.

---

B.
# CoTeAuO

A relaxed CoTeAuO crystal (PBE with a Hubbard U, OQMD).

The structure belongs to space group Pmc2_1 (No. 26); the cell edges are 3.974, 7.139 and 5.733 Å and the angles 90.00°, 90.00° and 90.00°. The asymmetric unit holds Co at (0.000, 0.124, 0.000), Te at (0.500, 0.332, 0.159), Au at (0.500, 0.295, 0.645) and O at (0.000, 0.102, 0.669).

Its size of the total moment is 2.599 μB/f.u.

---

Most stable one: A, least stable one: B.